Entry 1:
Material: Cu2HgP4
Method: DFT, GGA-PBE
State: relaxed

* magnetization: 0.00 μB/cell
* space-group type: P-42m (111)
* raw total energy: -4.01 eV/atom

```
Cu2HgP4
1.0
-3.4269 1.2145 3.7613
-0.1360 -5.0115 1.4942
3.4902 0.7784 2.9286
P Hg Cu
4 1 2
Cartesian
0.4115 -0.3652 5.2223 P
1.3990 -2.2334 4.5420 P
-1.5126 -2.2890 4.0904 P
-0.4435 -1.1496 2.5134 P
0.0000 0.0000 0.0000 Hg
0.0316 0.9964 3.3449 Cu
1.6771 -2.1165 2.2114 Cu
```

Entry 2:
Material: CuHgP2
Method: DFT, GGA-PBE
State: relaxed

* magnetization: 0.00 μB/cell
* space-group type: C2/m (12)
* raw total energy: -3.35 eV/atom

```
CuHgP2
1.0
-0.4382 5.4540 -1.6118
-1.2639 -2.0008 5.1899
1.6090 2.0491 2.4412
P Hg Cu
2 1 1
Cartesian
-0.8510 1.7266 1.7891 P
0.0000 0.0000 0.0000 P
0.1726 0.0241 3.8156 Hg
0.5854 3.7515 0.4147 Cu
```

Entry 3:
Material: CuHgP2
Method: DFT, GGA-PBE
State: relaxed

* magnetization: 0.00 μB/cell
* space-group type: I-4m2 (119)
* raw total energy: -3.15 eV/atom

```
CuHgP2
1.0
4.9130 -0.1084 0.0000
1.5250 4.6716 0.0000
-3.2190 -2.2816 2.9294
P Hg Cu
2 1 1
Cartesian
0.7625 2.3358 1.4647 P
0.0000 0.0000 0.0000 P
2.4565 -0.0542 1.4647 Hg
3.2190 2.2816 0.0000 Cu
```

Entry 4:
Material: Cu4HgP
Method: DFT, GGA-PBE
State: relaxed

* magnetization: 0.00 μB/cell
* space-group type: F-43m (216)
* raw total energy: -3.40 eV/atom

```
Cu4HgP
1.0
0.0000 3.5097 3.5097
3.5097 0.0000 3.5097
3.5097 3.5097 0.0000
Hg Cu P
1 4 1
Cartesian
5.2646 5.2646 5.2646 Hg
4.3885 2.6310 4.3885 Cu
2.6310 2.6310 2.6310 Cu
2.6310 4.3885 4.3885 Cu
4.3885 4.3885 2.6310 Cu
0.0000 0.0000 0.0000 P
```

Entry 5:
Material: CuHgP2
Method: DFT, GGA-PBE
State: relaxed

* magnetization: 0.00 μB/cell
* space-group type: Cm (8)
* raw total energy: -3.65 eV/atom

```
CuHgP2
1.0
-2.6873 -3.2302 0.1760
0.9560 -4.0864 0.2718
-0.6012 -1.9236 5.6715
Cu Hg P
1 1 2
Cartesian
-1.3372 -5.2390 4.0277 Cu
-0.4539 -1.7708 1.4359 Hg
-2.1743 -8.5995 5.8272 P
-1.8660 -7.4913 4.0076 P
```

Entry 6:
Material: CuHgP2
Method: DFT, GGA-PBE
State: relaxed

* magnetization: 0.00 μB/cell
* space-group type: F-43m (216)
* raw total energy: -3.11 eV/atom

```
CuHgP2
1.0
-0.4761 4.4846 -0.7393
-0.8729 1.5414 -4.2127
-4.1121 1.7280 -0.9945
P Cu Hg
2 1 1
Cartesian
-1.3653 1.9385 -1.4866 P
0.0000 0.0000 0.0000 P
-2.7305 3.8770 -2.9732 Cu
-4.0958 5.8154 -4.4598 Hg
```

Entry 7:
Material: CuHg2P
Method: DFT, GGA-PBE
State: relaxed

* magnetization: 0.00 μB/cell
* space-group type: P4mm (99)
* raw total energy: -2.35 eV/atom

```
CuHg2P
1.0
3.2529 0.0000 0.0000
0.0000 3.2529 0.0000
0.0000 0.0000 8.2103
Cu Hg P
1 2 1
Cartesian
1.6264 1.6264 4.8473 Cu
0.0000 0.0000 8.0639 Hg
1.6264 1.6264 2.1667 Hg
0.0000 0.0000 5.4477 P
```

Entry 8:
Material: CuHgP2
Method: DFT, GGA-PBE
State: relaxed

* magnetization: 0.00 μB/cell
* space-group type: C2/m (12)
* raw total energy: -3.69 eV/atom

```
CuHgP2
1.0
-3.8910 -1.8049 3.7112
-1.4084 -4.0025 3.7639
2.4230 2.7922 2.2959
P Hg Cu
2 1 1
Cartesian
-3.0014 -3.1682 9.2743 P
-1.3133 -1.3546 5.3821 P
-0.7191 -0.7538 2.4427 Hg
-2.1574 -2.2614 7.3282 Cu
```